(1)
A relaxed structure of MgSi, computed with GGA-PBE.

```
data_MgSi
_symmetry_space_group_name_H-M 'P 1'
_symmetry_Int_Tables_number 1
_symmetry_space_group_name_Hall 'P 1'
_cell_length_a 4.850
_cell_length_b 5.214
_cell_length_c 9.609
_cell_angle_alpha 94.17
_cell_angle_beta 91.87
_cell_angle_gamma 106.70
loop_
_atom_site_label
_atom_site_fract_x
_atom_site_fract_y
_atom_site_fract_z
Mg1 0.000 0.000 0.000
Mg2 0.038 0.347 0.504
Mg3 0.407 0.233 0.756
Mg4 0.661 0.382 0.056
Mg5 0.783 0.822 0.671
Mg6 0.874 0.737 0.326
Si1 0.187 0.400 0.212
Si2 0.306 0.907 0.521
Si3 0.398 0.789 0.891
Si4 0.485 0.824 0.146
Si5 0.497 0.180 0.334
Si6 0.967 0.431 0.815
```

Computed properties:
**E_form (uncorrected)**: 69 meV/atom

---

(2)
A relaxed structure of NbSb, computed with GGA-PBE.

```
data_NbSb
_symmetry_space_group_name_H-M 'P 63/m m c'
_symmetry_Int_Tables_number 194
_symmetry_space_group_name_Hall '-P 6c 2c'
_cell_length_a 3.5690
_cell_length_b 3.5690
_cell_length_c 7.7058
_cell_angle_alpha 90.00
_cell_angle_beta 90.00
_cell_angle_gamma 120.00
loop_
_atom_site_label
_atom_site_fract_x
_atom_site_fract_y
_atom_site_fract_z
Nb1 0.0000 0.0000 0.0000
Sb1 0.3333 0.6667 0.2500
```

Computed properties:
**E_form (uncorrected)**: -163 meV/atom

---

(3)
A relaxed structure of YIn2Ir, computed with GGA-PBE.

```
data_YIn2Ir
_symmetry_space_group_name_H-M 'P 4 m m'
_symmetry_Int_Tables_number 99
_symmetry_space_group_name_Hall 'P 4 -2'
_cell_length_a 3.397
_cell_length_b 3.397
_cell_length_c 7.732
_cell_angle_alpha 90.00
_cell_angle_beta 90.00
_cell_angle_gamma 90.00
loop_
_atom_site_label
_atom_site_fract_x
_atom_site_fract_y
_atom_site_fract_z
Y1 0.000 0.000 0.000
In1 0.000 0.000 0.579
In2 0.500 0.500 0.311
Ir1 0.500 0.500 0.778
```

Computed properties:
**Formation energy**: -316 meV/atom

---

(4)
A relaxed structure of Al2PSe, computed with GGA-PBE.

```
data_Al2PSe
_symmetry_space_group_name_H-M 'P 4 m m'
_symmetry_Int_Tables_number 99
_symmetry_space_group_name_Hall 'P 4 -2'
_cell_length_a 2.896
_cell_length_b 2.896
_cell_length_c 9.156
_cell_angle_alpha 90.00
_cell_angle_beta 90.00
_cell_angle_gamma 90.00
loop_
_atom_site_label
_atom_site_fract_x
_atom_site_fract_y
_atom_site_fract_z
Al1 0.000 0.000 0.000
Al2 0.500 0.500 0.212
P1 0.000 0.000 0.392
Se1 0.500 0.500 0.780
```

Computed properties:
**E_form (uncorrected)**: 141 meV/atom

---

no.,calculated total energy (Ry/atom)
1,-0.2528
2,-0.5336
3,-0.4055
4,-0.2906